Entry 1:
An optimized crystal structure of Rb3ErAg2Cl9, computed with PBE-GGA.

## Properties
Total magnetic moment ... 0.29 μB per cell
Calculated total energy ... -53.00 eV/f.u.
Energy relative to the elements, uncorrected ... -1548 meV per atom

Cell lengths 7.4556, 7.4556, 9.2462 Å; angles 90.00, 90.00, 120.00 degrees
Space group P-3m1 (No. 164)
Inequivalent atoms, fractional coordinates:
Rb: 0.0000 0.0000 0.0000 (multiplicity 1)
Rb: 0.3333 0.6667 0.6911 (multiplicity 2)
Er: 0.0000 0.0000 0.5000 (multiplicity 1)
Ag: 0.3333 0.6667 0.1559 (multiplicity 2)
Cl: 0.0000 0.5000 0.0000 (multiplicity 3)
Cl: 0.1647 0.3295 0.3368 (multiplicity 6)

---

Entry 2:
An optimized crystal structure of ErAgSnCl6, computed with PBE-GGA.

## Properties
Total magnetic moment ... 0.00 μB per cell
Calculated total energy ... -35.39 eV/f.u.
Energy relative to the elements, uncorrected ... -1432 meV per atom

Cell lengths 6.8601, 6.8601, 12.5798 Å; angles 90.00, 90.00, 120.00 degrees
Space group P-31c (No. 163)
Inequivalent atoms, fractional coordinates:
Er: 0.3333 0.6667 0.2500 (multiplicity 2)
Ag: 0.3333 0.6667 0.7500 (multiplicity 2)
Sn: 0.0000 0.0000 0.0000 (multiplicity 2)
Cl: 0.0167 0.3539 0.1297 (multiplicity 12)

---

Entry 3:
An optimized crystal structure of ErTl2Ag2Cl6, computed with PBE-GGA.

## Properties
Total magnetic moment ... 0.00 μB per cell
Calculated total energy ... -38.75 eV/f.u.
Energy relative to the elements, uncorrected ... -1152 meV per atom

Cell lengths 11.494, 8.806, 7.560 Å; angles 90.00, 123.04, 90.00 degrees
Space group C2/m (No. 12)
Inequivalent atoms, fractional coordinates:
Er: 0.000 0.000 0.000 (multiplicity 2)
Tl: 0.213 0.000 0.645 (multiplicity 4)
Ag: 0.056 0.500 0.877 (multiplicity 4)
Cl: 0.004 0.206 0.751 (multiplicity 8)
Cl: 0.230 0.500 0.744 (multiplicity 4)